# 1
Below is a relaxed SrLa2PmS4 crystal, with properties calculated at the PBE level.

The structure belongs to space group P2/m (No. 10); the cell edges are 7.1841, 4.1299 and 7.1998 Å and the angles 90.00°, 109.20° and 90.00°. Symmetry generates all atoms from Sr at (0.0000, 0.0000, 0.0000), La at (0.5000, 0.0000, 0.5000), La at (0.5000, 0.5000, 0.0000), Pm at (0.0000, 0.5000, 0.5000), S at (0.2448, 0.0000, 0.7442) and S at (0.2490, 0.5000, 0.2547).

Its uncorrected formation energy is -2.09 eV per atom. Its density of states at the Fermi level is 3.80 states/eV per cell. For the uncorrected energy, the calculation gives -6.1937 eV/atom.



# 2
Below is a relaxed SrLaPm2S4 crystal, with properties calculated at the PBE level.

The structure belongs to space group P2/m (No. 10); the cell edges are 7.1283, 4.0905 and 7.1508 Å and the angles 90.00°, 109.13° and 90.00°. Symmetry generates all atoms from Sr at (0.0000, 0.0000, 0.0000), La at (0.5000, 0.5000, 0.0000), Pm at (0.0000, 0.5000, 0.5000), Pm at (0.5000, 0.0000, 0.5000), S at (0.2473, 0.0000, 0.7418) and S at (0.2544, 0.5000, 0.2597).

Its uncorrected formation energy is -2.07 eV per atom. Its density of states at the Fermi level is 3.43 states/eV per cell. For the uncorrected energy, the calculation gives -6.1487 eV/atom.



# 3
Below is a relaxed La3TbPm2S6 crystal, with properties calculated at the PBE level.

The structure belongs to space group C2/m (No. 12); the cell edges are 7.0457, 12.2273 and 7.0736 Å and the angles 90.00°, 109.48° and 90.00°. Symmetry generates all atoms from La at (0.0000, 0.0000, 0.0000), La at (0.0000, 0.3312, 0.0000), Tb at (0.0000, 0.5000, 0.5000), Pm at (0.0000, 0.1667, 0.5000), S at (0.2427, 0.3363, 0.7375) and S at (0.2475, 0.5000, 0.2603).

Its uncorrected formation energy is -2.10 eV per atom. Its density of states at the Fermi level is 11.73 states/eV per cell. For the uncorrected energy, the calculation gives -6.5767 eV/atom.



# 4
Below is a relaxed LaTbPm2S4 crystal, with properties calculated at the PBE level.

The structure belongs to space group P2/m (No. 10); the cell edges are 6.9930, 4.0090 and 7.0374 Å and the angles 90.00°, 109.14° and 90.00°. Symmetry generates all atoms from La at (0.0000, 0.0000, 0.0000), Tb at (0.0000, 0.5000, 0.5000), Pm at (0.5000, 0.0000, 0.5000), Pm at (0.5000, 0.5000, 0.0000), S at (0.2453, 0.0000, 0.7403) and S at (0.2518, 0.5000, 0.2591).

Its uncorrected formation energy is -2.05 eV per atom. Its density of states at the Fermi level is 4.88 states/eV per cell. For the uncorrected energy, the calculation gives -6.5002 eV/atom.



# 5
Below is a relaxed La2Tb3PmS6 crystal, with properties calculated at the PBE level.

The structure belongs to space group C2/m (No. 12); the cell edges are 17.5735, 3.9860 and 8.1213 Å and the angles 90.00°, 104.18° and 90.00°. Symmetry generates all atoms from La at (0.1659, 0.0000, 0.3322), Tb at (0.0000, 0.5000, 0.5000), Tb at (0.1671, 0.0000, 0.8336), Pm at (0.0000, 0.5000, 0.0000), S at (0.0045, 0.0000, 0.7451), S at (0.1627, 0.5000, 0.5934) and S at (0.1685, 0.5000, 0.0715).

Its uncorrected formation energy is -2.07 eV per atom. Its density of states at the Fermi level is 11.54 states/eV per cell. For the uncorrected energy, the calculation gives -6.5073 eV/atom.



# 6
Below is a relaxed La3Tb3PmS8 crystal, with properties calculated at the PBE level.

The structure belongs to space group R-3m (No. 166, hexagonal axes); the cell edges are 8.0084, 8.0084 and 20.0677 Å and the angles 90.00°, 90.00° and 120.00°. Symmetry generates all atoms from La at (0.0000, 0.5000, 0.0000), Tb at (0.0000, 0.5000, 0.5000), Pm at (0.0000, 0.0000, 0.5000), S at (0.0000, 0.0000, 0.2442) and S at (0.0072, 0.5036, 0.7542).

Its uncorrected formation energy is -2.10 eV per atom. Its density of states at the Fermi level is 23.17 states/eV per cell. For the uncorrected energy, the calculation gives -6.5312 eV/atom.



# 7
Below is a relaxed La3TbPm4S8 crystal, with properties calculated at the PBE level.

The structure belongs to space group R-3m (No. 166, hexagonal axes); the cell edges are 8.1421, 8.1421 and 19.8969 Å and the angles 90.00°, 90.00° and 120.00°. Symmetry generates all atoms from La at (0.0000, 0.5000, 0.0000), Tb at (0.0000, 0.0000, 0.0000), Pm at (0.0000, 0.0000, 0.5000), Pm at (0.0000, 0.5000, 0.5000), S at (0.0000, 0.0000, 0.2472) and S at (0.0087, 0.5043, 0.7505).

Its uncorrected formation energy is -2.08 eV per atom. Its density of states at the Fermi level is 26.40 states/eV per cell. For the uncorrected energy, the calculation gives -6.5405 eV/atom.



# 8
Below is a relaxed LaTb4Pm3S8 crystal, with properties calculated at the PBE level.

The structure belongs to space group P-3m1 (No. 164); the cell edges are 7.7175, 7.7175 and 7.1835 Å and the angles 90.00°, 90.00° and 120.00°. Symmetry generates all atoms from La at (0.0000, 0.0000, 0.0000), Tb at (0.0000, 0.0000, 0.5000), Tb at (0.0000, 0.5000, 0.5000), Pm at (0.0000, 0.5000, 0.0000), S at (0.1683, 0.3367, 0.7357) and S at (0.3333, 0.6667, 0.2610).

Its uncorrected formation energy is -1.91 eV per atom. Its density of states at the Fermi level is 8.84 states/eV per cell. For the uncorrected energy, the calculation gives -6.3260 eV/atom.



# 9
Below is a relaxed La2TbPmS4 crystal, with properties calculated at the PBE level.

The structure belongs to space group P2/m (No. 10); the cell edges are 7.0431, 4.0355 and 7.0907 Å and the angles 90.00°, 109.14° and 90.00°. Symmetry generates all atoms from La at (0.0000, 0.0000, 0.0000), La at (0.5000, 0.5000, 0.0000), Tb at (0.0000, 0.5000, 0.5000), Pm at (0.5000, 0.0000, 0.5000), S at (0.2399, 0.0000, 0.7346) and S at (0.2492, 0.5000, 0.2619).

Its uncorrected formation energy is -2.10 eV per atom. Its density of states at the Fermi level is 4.98 states/eV per cell. For the uncorrected energy, the calculation gives -6.5645 eV/atom.



# 10
Below is a relaxed LaTb2PmS4 crystal, with properties calculated at the PBE level.

The structure belongs to space group I4/mmm (No. 139); the cell edges are 5.6772, 5.6772 and 11.3654 Å and the angles 90.00°, 90.00° and 90.00°. Symmetry generates all atoms from La at (0.0000, 0.0000, 0.0000), Tb at (0.0000, 0.5000, 0.2500), Pm at (0.0000, 0.0000, 0.5000), S at (0.0000, 0.0000, 0.2525) and S at (0.0000, 0.5000, 0.0000).

Its uncorrected formation energy is -2.03 eV per atom. Its density of states at the Fermi level is 7.06 states/eV per cell. For the uncorrected energy, the calculation gives -6.4600 eV/atom.



# 11
Below is a relaxed LaTb2Pm3S6 crystal, with properties calculated at the PBE level.

The structure belongs to space group C2/m (No. 12); the cell edges are 6.9543, 12.0809 and 6.9559 Å and the angles 90.00°, 109.58° and 90.00°. Symmetry generates all atoms from La at (0.0000, 0.0000, 0.0000), Tb at (0.0000, 0.3330, 0.0000), Pm at (0.0000, 0.1631, 0.5000), Pm at (0.0000, 0.5000, 0.5000), S at (0.2375, 0.5000, 0.2430) and S at (0.2460, 0.3284, 0.7530).

Its uncorrected formation energy is -2.05 eV per atom. Its density of states at the Fermi level is 10.49 states/eV per cell. For the uncorrected energy, the calculation gives -6.4817 eV/atom.



# 12
Below is a relaxed LaTb4PmS8 crystal, with properties calculated at the PBE level.

The structure belongs to space group R3m (No. 160, hexagonal axes); the cell edges are 8.1672, 8.1672 and 20.1523 Å and the angles 90.00°, 90.00° and 120.00°. Symmetry generates all atoms from La at (0.0000, 0.0000, 0.0000), Tb at (0.0000, 0.0000, 0.7486), Tb at (0.1679, 0.3357, 0.2072), Pm at (0.0000, 0.0000, 0.3753), S at (0.0000, 0.0000, 0.1368), S at (0.0000, 0.0000, 0.6167), S at (0.0135, 0.5067, 0.1287) and S at (0.1807, 0.3613, 0.9516).

Its uncorrected formation energy is -1.95 eV per atom. Its density of states at the Fermi level is 25.57 states/eV per cell. For the uncorrected energy, the calculation gives -6.3207 eV/atom.



# 13
Below is a relaxed LaPmTe2S crystal, with properties calculated at the PBE level.

The structure belongs to space group P4/nmm (No. 129, origin choice 2); the cell edges are 4.5481, 4.5481 and 15.9766 Å and the angles 90.00°, 90.00° and 90.00°. Symmetry generates all atoms from La at (0.2500, 0.2500, 0.1031), Pm at (0.2500, 0.2500, 0.6136), Te at (0.2500, 0.2500, 0.4057), Te at (0.2500, 0.2500, 0.7992) and S at (0.2500, 0.7500, 0.0000).

Its uncorrected formation energy is -1.61 eV per atom. Its density of states at the Fermi level is 3.86 states/eV per cell. For the uncorrected energy, the calculation gives -5.6258 eV/atom.



# 14
Below is a relaxed LaPmTeS2 crystal, with properties calculated at the PBE level.

The structure belongs to space group I4mm (No. 107); the cell edges are 4.5818, 4.5818 and 14.2286 Å and the angles 90.00°, 90.00° and 90.00°. Symmetry generates all atoms from La at (0.0000, 0.0000, 0.0000), Pm at (0.0000, 0.0000, 0.7150), Te at (0.0000, 0.0000, 0.3596) and S at (0.0000, 0.5000, 0.1117).

Its uncorrected formation energy is -1.73 eV per atom. For the uncorrected energy, the calculation gives -5.9438 eV/atom.



# 15
Below is a relaxed LaPmTeS crystal, with properties calculated at the PBE level.

The structure belongs to space group P-6m2 (No. 187); the cell edges are 5.1798, 5.1798 and 5.5077 Å and the angles 90.00°, 90.00° and 120.00°. Symmetry generates all atoms from La at (0.0000, 0.0000, 0.0000), Pm at (0.6667, 0.3333, 0.5000), Te at (0.3333, 0.6667, 0.5000) and S at (0.6667, 0.3333, 0.0000).

Its uncorrected formation energy is -1.36 eV per atom. Its density of states at the Fermi level is 4.36 states/eV per cell. For the uncorrected energy, the calculation gives -5.5964 eV/atom.



# 16
Below is a relaxed LaPm4Th3S8 crystal, with properties calculated at the PBE level.

The structure belongs to space group R-3m (No. 166, hexagonal axes); the cell edges are 8.0600, 8.0600 and 20.0154 Å and the angles 90.00°, 90.00° and 120.00°. Symmetry generates all atoms from La at (0.0000, 0.0000, 0.0000), Pm at (0.0000, 0.0000, 0.5000), Pm at (0.0000, 0.5000, 0.5000), Th at (0.0000, 0.5000, 0.0000), S at (0.0000, 0.0000, 0.2490) and S at (0.0030, 0.5015, 0.2486).

Its uncorrected formation energy is -1.97 eV per atom. Its density of states at the Fermi level is 18.35 states/eV per cell. For the uncorrected energy, the calculation gives -6.9233 eV/atom.



# 17
Below is a relaxed La2PmTh3S6 crystal, with properties calculated at the PBE level.

The structure belongs to space group C2/m (No. 12); the cell edges are 17.8212, 4.0815 and 8.1452 Å and the angles 90.00°, 103.99° and 90.00°. Symmetry generates all atoms from La at (0.1659, 0.0000, 0.3328), Pm at (0.0000, 0.5000, 0.0000), Th at (0.0000, 0.5000, 0.5000), Th at (0.1674, 0.0000, 0.8335), S at (0.0021, 0.0000, 0.7525), S at (0.1655, 0.5000, 0.0785) and S at (0.1657, 0.5000, 0.5867).

Its uncorrected formation energy is -1.97 eV per atom. Its density of states at the Fermi level is 16.28 states/eV per cell. For the uncorrected energy, the calculation gives -7.1054 eV/atom.



# 18
Below is a relaxed LaPmTh2S4 crystal, with properties calculated at the PBE level.

The structure belongs to space group P2/m (No. 10); the cell edges are 6.9975, 4.0733 and 7.0717 Å and the angles 90.00°, 109.40° and 90.00°. Symmetry generates all atoms from La at (0.0000, 0.0000, 0.0000), Pm at (0.5000, 0.5000, 0.0000), Th at (0.0000, 0.5000, 0.5000), Th at (0.5000, 0.0000, 0.5000), S at (0.2537, 0.0000, 0.7498) and S at (0.2549, 0.5000, 0.2527).

Its uncorrected formation energy is -1.96 eV per atom. Its density of states at the Fermi level is 4.90 states/eV per cell. For the uncorrected energy, the calculation gives -7.0889 eV/atom.



# 19
Below is a relaxed La3PmTh4S8 crystal, with properties calculated at the PBE level.

The structure belongs to space group R-3m (No. 166, hexagonal axes); the cell edges are 8.1149, 8.1149 and 20.2056 Å and the angles 90.00°, 90.00° and 120.00°. Symmetry generates all atoms from La at (0.0000, 0.5000, 0.0000), Pm at (0.0000, 0.0000, 0.0000), Th at (0.0000, 0.0000, 0.5000), Th at (0.0000, 0.5000, 0.5000), S at (0.0000, 0.0000, 0.2482) and S at (0.0040, 0.5020, 0.7509).

Its uncorrected formation energy is -1.98 eV per atom. Its density of states at the Fermi level is 17.89 states/eV per cell. For the uncorrected energy, the calculation gives -7.1242 eV/atom.



# 20
Below is a relaxed La3Pm2ThS6 crystal, with properties calculated at the PBE level.

The structure belongs to space group C2/m (No. 12); the cell edges are 17.8531, 4.0956 and 8.1893 Å and the angles 90.00°, 103.39° and 90.00°. Symmetry generates all atoms from La at (0.0000, 0.0000, 0.0000), La at (0.1660, 0.5000, 0.3334), Pm at (0.1658, 0.5000, 0.8317), Th at (0.0000, 0.0000, 0.5000), S at (0.0020, 0.5000, 0.7466), S at (0.1656, 0.0000, 0.5885) and S at (0.1694, 0.0000, 0.0787).

Its uncorrected formation energy is -2.07 eV per atom. Its density of states at the Fermi level is 13.58 states/eV per cell. For the uncorrected energy, the calculation gives -6.7715 eV/atom.



# 21
Below is a relaxed LaPmTl2S4 crystal, with properties calculated at the PBE level.

The structure belongs to space group P2/m (No. 10); the cell edges are 7.3059, 4.2169 and 7.8548 Å and the angles 90.00°, 108.02° and 90.00°. Symmetry generates all atoms from La at (0.0000, 0.0000, 0.0000), Pm at (0.5000, 0.5000, 0.0000), Tl at (0.0000, 0.5000, 0.5000), Tl at (0.5000, 0.0000, 0.5000), S at (0.2400, 0.5000, 0.2043) and S at (0.2706, 0.0000, 0.7969).

Its uncorrected formation energy is -1.50 eV per atom. Its density of states at the Fermi level is 0.00 states/eV per cell. For the uncorrected energy, the calculation gives -5.3602 eV/atom.